Entry from Alexandria via LeMat-Bulk: a relaxed Sr2CuPbO4 crystal (PBE).

Results
**E_tot**: -0.201 Ha/atom
**Calculated density**: 6.39 Mg/m³
**Raw formation energy**: -12.70 eV per formula unit
**SG**: No. 10
**DOS(E_F)**: 3.31 states/eV/cell

Structure (POSCAR):
```
Sr2CuPbO4
1.0
3.388 0.000 0.000
0.000 6.708 -0.372
0.000 -2.794 5.985
O Sr Cu Pb
4 2 1 1
Cartesian
0.000 -0.075 4.114 O
1.694 3.159 4.466 O
1.694 0.755 1.147 O
0.000 3.989 1.499 O
1.694 -1.397 2.992 Sr
0.000 1.957 2.807 Sr
0.000 0.000 0.000 Cu
1.694 3.354 -0.186 Pb
```



Entry from Alexandria via LeMat-Bulk: a relaxed Mn2IrOs crystal (PBE).

Results
**E_tot**: -0.354 Ha/atom
**DFT formation energy**: -0.12 eV/f.u.
**Calculated density**: 15.81 Mg/m³
**SG**: No. 47
**DOS(E_F)**: 3.88 states/eV/cell

Structure (POSCAR):
```
Mn2IrOs
1.0
2.653 0.000 0.000
0.000 3.666 0.000
0.000 0.000 5.315
Ir Os Mn
1 1 2
Cartesian
1.326 1.833 3.986 Ir
1.326 1.833 1.329 Os
0.000 0.000 2.642 Mn
0.000 0.000 0.016 Mn
```



Entry from Alexandria via LeMat-Bulk: a relaxed AcMgPb2 crystal (PBE).

Results
**E_tot**: -0.134 Ha/atom
**DFT formation energy**: -1.43 eV/f.u.
**Calculated density**: 8.92 Mg/m³
**SG**: No. 123
**DOS(E_F)**: 2.46 states/eV/cell

Structure (POSCAR):
```
AcMgPb2
1.0
-3.520 2.819 1.705
-2.262 -4.055 2.036
2.625 0.687 4.284
Pb Ac Mg
2 1 1
Cartesian
-1.131 -2.028 1.018 Pb
1.312 0.343 2.142 Pb
-1.579 -0.275 4.012 Ac
-1.760 1.410 0.852 Mg
```



Entry from Alexandria via LeMat-Bulk: a relaxed Ag2TeAs2 crystal (PBE).

Results
**E_tot**: -0.125 Ha/atom
**Calculated density**: 7.63 Mg/m³
**Raw formation energy**: 1.13 eV per formula unit
**SG**: No. 127
**DOS(E_F)**: 4.79 states/eV/cell

Structure (POSCAR):
```
Ag2TeAs2
1.0
-4.925 -2.514 6.353
6.807 -2.479 4.296
0.211 2.747 1.251
Te Ag As
2 4 4
Cartesian
0.000 0.000 0.000 Te
0.941 -2.496 5.325 Te
-1.640 -1.787 7.860 Ag
3.733 -0.459 4.040 Ag
3.055 -2.366 8.343 Ag
-0.962 0.121 3.557 Ag
0.620 -3.747 8.126 As
4.001 -2.824 5.529 As
-2.119 -2.169 5.120 As
1.262 -1.246 2.524 As
```



Entry from Alexandria via LeMat-Bulk: a relaxed LiMn2Hg2 crystal (PBE).

Results
**E_tot**: -0.145 Ha/atom
**DFT formation energy**: 1.14 eV/f.u.
**Calculated density**: 8.94 Mg/m³
**SG**: No. 127
**DOS(E_F)**: 7.02 states/eV/cell

Structure (POSCAR):
```
LiMn2Hg2
1.0
7.926 0.000 0.000
0.000 7.926 0.000
0.000 0.000 3.064
Hg Li Mn
4 2 4
Cartesian
1.417 5.380 1.532 Hg
6.509 2.546 1.532 Hg
5.380 6.509 1.532 Hg
2.546 1.417 1.532 Hg
0.000 0.000 0.000 Li
3.963 3.963 0.000 Li
0.948 3.015 0.000 Mn
4.911 0.948 0.000 Mn
6.977 4.911 0.000 Mn
3.015 6.977 0.000 Mn
```



Entry from Alexandria via LeMat-Bulk: a relaxed CeSmNiS4 crystal (PBE).

Results
**E_tot**: -0.230 Ha/atom
**Calculated density**: 5.66 Mg/m³
**Raw formation energy**: -10.81 eV per formula unit
**SG**: No. 11
**DOS(E_F)**: 5.91 states/eV/cell

Structure (POSCAR):
```
CeSmNiS4
1.0
6.570 0.000 0.133
0.000 5.646 0.000
-2.404 0.000 7.499
S Ce Sm Ni
8 2 2 2
Cartesian
-1.734 5.593 5.681 S
1.321 4.234 4.570 S
2.845 1.411 3.062 S
1.637 1.411 6.680 S
5.900 2.770 1.950 S
5.900 0.053 1.950 S
2.529 4.234 0.952 S
-1.734 2.876 5.681 S
3.842 4.234 3.383 Ce
0.323 1.411 4.249 Ce
2.558 4.234 7.078 Sm
1.608 1.411 0.553 Sm
3.351 1.411 5.194 Ni
0.815 4.234 2.437 Ni
```